Entry 1:
Cs2ZnAgBr6: relaxed, GGA-PBE.

Lattice parameters (Å, degrees): 10.877 10.877 10.877 90.00 90.00 90.00
Space group Fm-3m (No. 225)
One atom of each set of equivalent atoms:
1 Cs 0.250 0.250 0.250 [8 per cell]
2 Zn 0.000 0.000 0.000 [4 per cell]
3 Ag 0.000 0.000 0.500 [4 per cell]
4 Br 0.000 0.000 0.244 [24 per cell]



Entry 2:
AlTe2Mo2: relaxed, GGA-PBE.

Lattice parameters (Å, degrees): 3.936 3.936 14.417 90.00 90.00 90.00
Space group I4/mmm (No. 139)
One atom of each set of equivalent atoms:
1 Al 0.000 0.000 0.000 [2 per cell]
2 Te 0.000 0.000 0.383 [4 per cell]
3 Mo 0.000 0.500 0.250 [4 per cell]

Properties
As for the spin magnetization: 0.518 μB per formula unit. The excess energy over the best structure of this formula in the dataset comes out at 0.000 eV/atom.



Entry 3:
Hf2ZrBi2: relaxed, GGA-PBE.

Lattice parameters (Å, degrees): 4.387 4.387 13.749 90.00 90.00 90.00
Space group I4/mmm (No. 139)
One atom of each set of equivalent atoms:
1 Hf 0.000 0.000 0.096 [4 per cell]
2 Zr 0.000 0.000 0.500 [2 per cell]
3 Bi 0.000 0.500 0.250 [4 per cell]

Properties
As for the spin magnetization: 0.024 μB per formula unit. The excess energy over the best structure of this formula in the dataset comes out at 0.319 eV/atom.



Entry 4:
LuFePdPb: relaxed, GGA-PBE.

Lattice parameters (Å, degrees): 6.706 6.706 6.706 90.00 90.00 90.00
Space group F-43m (No. 216)
One atom of each set of equivalent atoms:
1 Lu 0.000 0.000 0.000 [4 per cell]
2 Fe 0.250 0.250 0.750 [4 per cell]
3 Pd 0.250 0.250 0.250 [4 per cell]
4 Pb 0.000 0.000 0.500 [4 per cell]

Properties
As for the spin magnetization: 1.949 μB per formula unit. The excess energy over the best structure of this formula in the dataset comes out at 0.000 eV/atom.



Entry 5:
MgInCoCu: relaxed, GGA-PBE.

Lattice parameters (Å, degrees): 6.228 6.228 6.228 90.00 90.00 90.00
Space group F-43m (No. 216)
One atom of each set of equivalent atoms:
1 Mg 0.000 0.000 0.000 [4 per cell]
2 In 0.000 0.000 0.500 [4 per cell]
3 Co 0.250 0.250 0.250 [4 per cell]
4 Cu 0.250 0.250 0.750 [4 per cell]

Properties
As for the spin magnetization: 0.512 μB per formula unit. The excess energy over the best structure of this formula in the dataset comes out at 0.000 eV/atom.



Entry 6:
SrSm: relaxed, GGA-PBE.

Lattice parameters (Å, degrees): 7.732 7.732 7.732 90.00 90.00 90.00
Space group F-43m (No. 216)
One atom of each set of equivalent atoms:
1 Sr 0.000 0.000 0.000 [4 per cell]
2 Sm 0.250 0.250 0.250 [4 per cell]

Properties
As for the spin magnetization: 0.020 μB per formula unit. The excess energy over the best structure of this formula in the dataset comes out at 1.566 eV/atom.



| no. | raw total energy (eV/atom) | mass density (g cm⁻³) |
| --- | --- | --- |
| 1 | -2.5994 | 4.74 |
| 2 | -5.9415 | 7.05 |
| 3 | -6.7666 | 10.87 |
| 4 | -5.6300 | 11.99 |
| 5 | -3.7536 | 7.19 |
| 6 | -1.4351 | 3.42 |